Record 1
Sm2GdIr: optimized geometry, PBE-GGA.

```
Sm2GdIr
1.0
-0.909 -2.461 -2.849
2.768 -1.353 -2.347
2.179 -9.403 4.795
Ir Sm Gd
1 2 1
Direct
0.500 0.500 0.500
0.886 0.886 0.342
0.114 0.114 0.658
0.000 0.000 0.000
```

Computed properties:
As for the relative energy among the computed polymorphs: 204.2 meV per atom. The formation energy is -0.10 eV per atom.

Record 2
Sm2GdIr: optimized geometry, PBE-GGA.

```
Sm2GdIr
1.0
-0.835 -3.485 0.069
3.004 -0.683 1.833
-4.348 1.192 7.570
Sm Ir Gd
2 1 1
Direct
0.000 0.000 0.814
0.000 0.000 0.186
0.500 0.500 0.000
0.500 0.500 0.500
```

Computed properties:
As for the relative energy among the computed polymorphs: 0.0 meV per atom. The formation energy is -0.30 eV per atom.

Record 3
SmGdIr2: optimized geometry, PBE-GGA.

```
SmGdIr2
1.0
-1.751 -4.203 -1.879
3.021 -3.086 -2.367
1.218 -4.310 2.049
Ir Gd Sm
2 1 1
Direct
0.750 0.750 0.750
0.250 0.250 0.250
0.000 0.000 0.000
0.500 0.500 0.500
```

Computed properties:
As for the relative energy among the computed polymorphs: 0.0 meV per atom. The formation energy is -0.68 eV per atom.

Record 4
SmGd2Ir: optimized geometry, PBE-GGA.

```
SmGd2Ir
1.0
-0.399 -2.048 2.844
-1.465 -2.503 -2.008
8.004 -3.542 -1.427
Gd Ir Sm
2 1 1
Direct
0.000 0.000 0.816
0.000 0.000 0.184
0.500 0.500 0.000
0.500 0.500 0.500
```

Computed properties:
As for the relative energy among the computed polymorphs: 0.0 meV per atom. The formation energy is -0.37 eV per atom.

Record 5
SmGd2Ir: optimized geometry, PBE-GGA.

```
SmGd2Ir
1.0
3.898 0.000 0.000
1.949 3.376 0.000
1.949 1.125 9.393
Gd Ir Sm
2 1 1
Direct
0.276 0.276 0.173
0.724 0.724 0.827
0.000 0.000 0.000
0.500 0.500 0.500
```

Computed properties:
As for the relative energy among the computed polymorphs: 54.4 meV per atom. The formation energy is -0.31 eV per atom.

Record 6
SmGd3Ir: optimized geometry, PBE-GGA.

```
SmGd3Ir
1.0
5.488 0.000 0.000
0.000 5.488 0.000
0.000 0.000 5.488
Sm Ir Gd
1 1 3
Direct
0.500 0.500 0.500
0.000 0.000 0.000
0.000 0.000 0.500
0.000 0.500 0.000
0.500 0.000 0.000
```

Computed properties:
The formation energy is -0.26 eV per atom.

Record 7
SmGdSnIr: optimized geometry, PBE-GGA.

```
SmGdSnIr
1.0
5.168 0.000 0.000
2.584 4.476 0.000
2.584 1.492 4.220
Ir Sn Gd Sm
1 1 1 1
Direct
0.750 0.750 0.750
0.250 0.250 0.250
0.000 0.000 0.000
0.500 0.500 0.500
```

Computed properties:
The formation energy is -0.55 eV per atom.

Record 8
SmGdTlIr: optimized geometry, PBE-GGA.

```
SmGdTlIr
1.0
-3.019 0.528 4.171
2.013 -0.546 4.737
0.535 4.128 3.076
Gd Ir Sm Tl
1 1 1 1
Direct
0.250 0.250 0.250
0.000 0.000 0.000
0.750 0.750 0.750
0.500 0.500 0.500
```

Computed properties:
The formation energy is -0.42 eV per atom.